Computed, not measured: an optimized crystal structure of Y2NiMo at the PBE level of DFT.

**Symmetry**: F-43m (216)
**Offset from the most stable computed form**: 0.4384 eV per atom

abc: 4.838 4.838 4.838
angles: 60.00 60.00 60.00
Each line ends with the local moment (μB).
Fractional positions:
Mo  0.500  0.500  0.500  0.98
Ni  0.250  0.250  0.250  0.51
Y  0.000  0.000  0.000  -0.06
Y  0.750  0.750  0.750  0.16

Computed, not measured: an optimized crystal structure of Mg2AlAu2 at the PBE level of DFT.

**Symmetry**: Ibam (72)
**Offset from the most stable computed form**: 0.0377 eV per atom

abc: 5.199 6.869 6.972
angles: 119.51 111.89 90.00
Fractional positions:
Mg  0.810  0.650  0.621
Mg  0.190  0.350  0.379
Mg  0.690  0.029  0.379
Mg  0.310  0.971  0.621
Al  0.750  0.500  0.000
Al  0.250  0.500  0.000
Au  0.420  0.726  0.841
Au  0.580  0.274  0.159
Au  0.080  0.885  0.159
Au  0.920  0.115  0.841

Computed, not measured: an optimized crystal structure of NaAuBr2 at the PBE level of DFT.

**Symmetry**: Fm-3m (225)
**Offset from the most stable computed form**: 0.3317 eV per atom
**E_form (uncorrected)**: -478 meV/atom

abc: 5.139 5.139 5.139
angles: 60.00 60.00 60.00
Fractional positions:
Na  0.000  0.000  0.000
Au  0.500  0.500  0.500
Br  0.250  0.250  0.250
Br  0.750  0.750  0.750

Computed, not measured: an optimized crystal structure of CaTb2VN4 at the PBE level of DFT.

**Symmetry**: Cmcm (63)
**E_form (uncorrected)**: -1284 meV/atom

abc: 3.415 6.119 11.874
angles: 90.00 90.00 106.21
Each line ends with the local moment (μB).
Fractional positions:
Ca  0.096  0.191  0.750  0.02
Ca  0.904  0.809  0.250  0.02
Tb  0.370  0.741  0.541  0.04
Tb  0.630  0.259  0.041  0.04
Tb  0.630  0.259  0.459  0.04
Tb  0.370  0.741  0.959  0.04
V  0.827  0.654  0.750  0.50
V  0.173  0.346  0.250  0.50
N  0.262  0.524  0.126  -0.02
N  0.738  0.476  0.626  -0.02
N  0.738  0.476  0.874  -0.02
N  0.262  0.524  0.374  -0.02
N  0.000  0.000  0.500  -0.01
N  0.000  0.000  0.000  -0.01
N  0.412  0.824  0.750  -0.03
N  0.588  0.176  0.250  -0.03

Computed, not measured: an optimized crystal structure of Al3HgMo at the PBE level of DFT.

**Symmetry**: Pm-3m (221)
**Offset from the most stable computed form**: 0.0000 eV per atom

abc: 4.905 4.905 4.905
angles: 90.00 90.00 90.00
Fractional positions:
Mo  0.000  0.000  0.000
Hg  0.500  0.500  0.500
Al  0.000  0.500  0.000
Al  0.000  0.000  0.500
Al  0.500  0.000  0.000

Computed, not measured: an optimized crystal structure of P3Cl at the PBE level of DFT.

**Symmetry**: P4/mmm (123)
**Offset from the most stable computed form**: 0.2112 eV per atom
**E_form (uncorrected)**: 429 meV/atom

abc: 3.189 3.189 7.018
angles: 90.00 90.00 90.00
Fractional positions:
Cl  0.000  0.000  0.000
P  0.500  0.500  0.665
P  0.000  0.000  0.500
P  0.500  0.500  0.335

Computed, not measured: an optimized crystal structure of RbPd9Pb4 at the PBE level of DFT.

**Symmetry**: I4/mcm (140)

abc: 9.232 9.232 9.435
angles: 119.29 119.29 90.00
Fractional positions:
Rb  0.750  0.750  0.500
Rb  0.250  0.250  0.500
Pd  0.064  0.206  0.000
Pd  0.936  0.794  0.000
Pd  0.564  0.294  0.000
Pd  0.436  0.706  0.000
Pd  0.294  0.436  0.000
Pd  0.706  0.564  0.000
Pd  0.206  0.936  0.000
Pd  0.794  0.064  0.000
Pd  0.000  0.500  0.000
Pd  0.500  0.000  0.000
Pd  0.794  0.294  0.357
Pd  0.563  0.063  0.357
Pd  0.937  0.206  0.643
Pd  0.706  0.437  0.643
Pd  0.206  0.706  0.643
Pd  0.437  0.937  0.643
Pd  0.294  0.563  0.357
Pd  0.063  0.794  0.357
Pb  0.304  0.804  0.248
Pb  0.944  0.444  0.248
Pb  0.556  0.696  0.752
Pb  0.196  0.056  0.752
Pb  0.696  0.196  0.752
Pb  0.056  0.556  0.752
Pb  0.804  0.944  0.248
Pb  0.444  0.304  0.248

Computed, not measured: an optimized crystal structure of RhPb2Au at the PBE level of DFT.

**Symmetry**: F-43m (216)

abc: 5.004 5.004 5.004
angles: 60.00 60.00 60.00
Fractional positions:
Rh  0.750  0.750  0.750
Pb  0.000  0.000  0.000
Pb  0.250  0.250  0.250
Au  0.500  0.500  0.500

Number 1: M_tot 1.67 μB per formula unit, raw total energy -27.65 eV/cell. Number 2: M_tot 0.00 μB per formula unit, raw total energy -31.26 eV/cell. Number 3: M_tot 0.00 μB per formula unit, raw total energy -9.85 eV/cell. Number 4: M_tot 0.66 μB per formula unit, raw total energy -127.91 eV/cell. Number 5: M_tot 0.00 μB per formula unit, raw total energy -19.39 eV/cell. Number 6: M_tot 0.00 μB per formula unit, raw total energy -16.36 eV/cell. Number 7: M_tot 0.00 μB per formula unit, raw total energy -131.55 eV/cell. Number 8: M_tot 0.00 μB per formula unit, raw total energy -16.92 eV/cell.